{
  "formula": "KCd2GeRh",
  "functional": "PBE",
  "state": "relaxed",
  "total_magnetization_mub_per_cell": 0.00,
  "ef_ev_per_atom": -0.195,
  "total_energy_ev_per_cell": -15.9,
  "n_ef_per_ev_cell": 1.61,
  "cell": [[-1.276, -5.153, 0.087], [2.330, -0.497, 4.744], [-4.081, 1.046, 2.114]],
  "species": ["Rh", "Cd", "Cd", "Ge", "K"],
  "fractional_positions": [[0.000, 0.000, 0.000], [0.500, 0.000, 0.000], [0.000, 0.500, 0.000], [0.000, 0.000, 0.500], [0.500, 0.500, 0.500]]
}